1.
# ThNbAl2, optimized geometry, DFT GGA-PBE
# Relative energy among the computed polymorphs in eV per atom: 0.188
# M_tot in μB per cell: 0.0
data_ThNbAl2
_space_group_name_H-M_alt 'R -3 m'
_space_group_IT_number 166
_space_group_name_Hall '-R 3 2"'
_cell_length_a 3.1462
_cell_length_b 3.1462
_cell_length_c 29.9332
_cell_angle_alpha 90.00
_cell_angle_beta 90.00
_cell_angle_gamma 120.00
loop_
_atom_site_label
_atom_site_type_symbol
_atom_site_fract_x
_atom_site_fract_y
_atom_site_fract_z
_atom_site_occupancy
Th1 Th 0.0000 0.0000 0.0000 1
Nb1 Nb 0.0000 0.0000 0.5000 1
Al1 Al 0.0000 0.0000 0.2405 1

2.
# ThNbAl2, optimized geometry, DFT GGA-PBE
# Relative energy among the computed polymorphs in eV per atom: 0.000
# M_tot in μB per cell: 0.0
data_ThNbAl2
_space_group_name_H-M_alt 'P 4/m m m'
_space_group_IT_number 123
_space_group_name_Hall '-P 4 2'
_cell_length_a 3.5891
_cell_length_b 3.5891
_cell_length_c 6.5548
_cell_angle_alpha 90.00
_cell_angle_beta 90.00
_cell_angle_gamma 90.00
loop_
_atom_site_label
_atom_site_type_symbol
_atom_site_fract_x
_atom_site_fract_y
_atom_site_fract_z
_atom_site_occupancy
Th1 Th 0.0000 0.0000 0.0000 1
Nb1 Nb 0.0000 0.0000 0.5000 1
Al1 Al 0.5000 0.5000 0.3052 1

3.
# Ti5Nb2Al2, optimized geometry, DFT GGA-PBE
# Final energy in eV/atom: -7.598
# M_tot in μB per cell: 0.0
data_Ti5Nb2Al2
_space_group_name_H-M_alt 'P -1'
_space_group_IT_number 2
_space_group_name_Hall '-P 1'
_cell_length_a 2.8343
_cell_length_b 6.8148
_cell_length_c 8.2437
_cell_angle_alpha 78.76
_cell_angle_beta 84.25
_cell_angle_gamma 81.51
loop_
_atom_site_label
_atom_site_type_symbol
_atom_site_fract_x
_atom_site_fract_y
_atom_site_fract_z
_atom_site_occupancy
Ti1 Ti 0.0000 0.0000 0.0000 1
Ti2 Ti 0.1284 0.6630 0.5577 1
Ti3 Ti 0.3767 0.6506 0.2217 1
Nb1 Nb 0.1942 0.3212 0.1132 1
Al1 Al 0.3792 0.0105 0.6692 1

4.
# Ti3Nb2Al, optimized geometry, DFT GGA-PBE
# Relative energy among the computed polymorphs in eV per atom: 0.000
# M_tot in μB per cell: 0.0
data_Ti3Nb2Al
_space_group_name_H-M_alt 'P m c 21'
_space_group_IT_number 26
_space_group_name_Hall 'P 2c -2'
_cell_length_a 4.5799
_cell_length_b 9.1596
_cell_length_c 4.9477
_cell_angle_alpha 90.00
_cell_angle_beta 90.00
_cell_angle_gamma 90.00
loop_
_atom_site_label
_atom_site_type_symbol
_atom_site_fract_x
_atom_site_fract_y
_atom_site_fract_z
_atom_site_occupancy
Ti1 Ti 0.0000 0.0614 0.0000 1
Ti2 Ti 0.0000 0.2447 0.4347 1
Ti3 Ti 0.5000 0.4124 0.3365 1
Nb1 Nb 0.0000 0.4148 0.8865 1
Nb2 Nb 0.5000 0.2366 0.8368 1
Al1 Al 0.5000 0.0816 0.3330 1

5.
# Ti5Nb2Al4, optimized geometry, DFT GGA-PBE
# Relative energy among the computed polymorphs in eV per atom: 0.404
# M_tot in μB per cell: 0.0
data_Ti5Nb2Al4
_space_group_name_H-M_alt 'I m m m'
_space_group_IT_number 71
_space_group_name_Hall '-I 2 2'
_cell_length_a 2.9248
_cell_length_b 6.1470
_cell_length_c 22.0208
_cell_angle_alpha 90.00
_cell_angle_beta 90.00
_cell_angle_gamma 90.00
loop_
_atom_site_label
_atom_site_type_symbol
_atom_site_fract_x
_atom_site_fract_y
_atom_site_fract_z
_atom_site_occupancy
Ti1 Ti 0.0000 0.0000 0.0000 1
Ti2 Ti 0.0000 0.2501 0.1964 1
Nb1 Nb 0.0000 0.5000 0.0958 1
Al1 Al 0.0000 0.1872 0.5000 1
Al2 Al 0.0000 0.5000 0.3931 1

6.
# Ti2Nb3Al3, optimized geometry, DFT GGA-PBE
# Final energy in eV/atom: -7.449
# M_tot in μB per cell: 0.0
data_Ti2Nb3Al3
_space_group_name_H-M_alt 'P m m m'
_space_group_IT_number 47
_space_group_name_Hall '-P 2 2'
_cell_length_a 3.7494
_cell_length_b 4.2310
_cell_length_c 8.5263
_cell_angle_alpha 90.00
_cell_angle_beta 90.00
_cell_angle_gamma 90.00
loop_
_atom_site_label
_atom_site_type_symbol
_atom_site_fract_x
_atom_site_fract_y
_atom_site_fract_z
_atom_site_occupancy
Ti1 Ti 0.0000 0.0000 0.2469 1
Nb1 Nb 0.0000 0.5000 0.5000 1
Nb2 Nb 0.5000 0.5000 0.2511 1
Al1 Al 0.0000 0.5000 0.0000 1
Al2 Al 0.5000 0.0000 0.0000 1
Al3 Al 0.5000 0.0000 0.5000 1

7.
# TiNbAl, optimized geometry, DFT GGA-PBE
# Relative energy among the computed polymorphs in eV per atom: 1.258
# M_tot in μB per cell: 0.4
data_TiNbAl
_space_group_name_H-M_alt 'C m m m'
_space_group_IT_number 65
_space_group_name_Hall '-C 2 2'
_cell_length_a 7.2685
_cell_length_b 7.3259
_cell_length_c 4.7937
_cell_angle_alpha 90.00
_cell_angle_beta 90.00
_cell_angle_gamma 90.00
loop_
_atom_site_label
_atom_site_type_symbol
_atom_site_fract_x
_atom_site_fract_y
_atom_site_fract_z
_atom_site_occupancy
Ti1 Ti 0.0000 0.0000 0.0000 1
Ti2 Ti 0.0000 0.5000 0.5000 1
Nb1 Nb 0.0000 0.1737 0.5000 1
Al1 Al 0.1654 0.5000 0.0000 1

8.
# TiNbAl3, optimized geometry, DFT GGA-PBE
# Relative energy among the computed polymorphs in eV per atom: 0.000
# M_tot in μB per cell: 0.0
data_TiNbAl3
_space_group_name_H-M_alt 'C 1 2/m 1'
_space_group_IT_number 12
_space_group_name_Hall '-C 2y'
_cell_length_a 13.7630
_cell_length_b 4.5107
_cell_length_c 5.4038
_cell_angle_alpha 90.00
_cell_angle_beta 100.28
_cell_angle_gamma 90.00
loop_
_atom_site_label
_atom_site_type_symbol
_atom_site_fract_x
_atom_site_fract_y
_atom_site_fract_z
_atom_site_occupancy
Ti1 Ti 0.1990 0.0000 0.0952 1
Nb1 Nb 0.1009 0.5000 0.5944 1
Al1 Al 0.0013 0.0000 0.2532 1
Al2 Al 0.0955 0.5000 0.0903 1
Al3 Al 0.2203 0.0000 0.6150 1

9.
# Ti7NbAl4, optimized geometry, DFT GGA-PBE
# Final energy in eV/atom: -6.663
# M_tot in μB per cell: 0.0
data_Ti7NbAl4
_space_group_name_H-M_alt 'C 1 2/m 1'
_space_group_IT_number 12
_space_group_name_Hall '-C 2y'
_cell_length_a 12.9002
_cell_length_b 4.7322
_cell_length_c 7.8583
_cell_angle_alpha 90.00
_cell_angle_beta 119.51
_cell_angle_gamma 90.00
loop_
_atom_site_label
_atom_site_type_symbol
_atom_site_fract_x
_atom_site_fract_y
_atom_site_fract_z
_atom_site_occupancy
Ti1 Ti 0.0000 0.0000 0.0000 1
Ti2 Ti 0.0824 0.5000 0.4514 1
Ti3 Ti 0.2139 0.5000 0.8811 1
Ti4 Ti 0.2174 0.5000 0.2446 1
Nb1 Nb 0.0000 0.5000 0.0000 1
Al1 Al 0.0650 0.0000 0.7000 1
Al2 Al 0.1746 0.0000 0.3649 1

10.
# TiNbAl3, optimized geometry, DFT GGA-PBE
# Relative energy among the computed polymorphs in eV per atom: 1.130
# M_tot in μB per cell: 0.0
data_TiNbAl3
_space_group_name_H-M_alt 'P m -3 m'
_space_group_IT_number 221
_space_group_name_Hall '-P 4 2 3'
_cell_length_a 4.8335
_cell_length_b 4.8335
_cell_length_c 4.8335
_cell_angle_alpha 90.00
_cell_angle_beta 90.00
_cell_angle_gamma 90.00
loop_
_atom_site_label
_atom_site_type_symbol
_atom_site_fract_x
_atom_site_fract_y
_atom_site_fract_z
_atom_site_occupancy
Ti1 Ti 0.0000 0.0000 0.0000 1
Nb1 Nb 0.5000 0.5000 0.5000 1
Al1 Al 0.0000 0.5000 0.5000 1

11.
# Ti6NbAl, optimized geometry, DFT GGA-PBE
# Final energy in eV/atom: -7.692
# M_tot in μB per cell: 10.9
data_Ti6NbAl
_space_group_name_H-M_alt 'R -3 m'
_space_group_IT_number 166
_space_group_name_Hall '-R 3 2"'
_cell_length_a 4.6042
_cell_length_b 4.6042
_cell_length_c 22.4514
_cell_angle_alpha 90.00
_cell_angle_beta 90.00
_cell_angle_gamma 120.00
loop_
_atom_site_label
_atom_site_type_symbol
_atom_site_fract_x
_atom_site_fract_y
_atom_site_fract_z
_atom_site_occupancy
Ti1 Ti 0.0000 0.0000 0.1251 1
Ti2 Ti 0.0000 0.0000 0.2501 1
Ti3 Ti 0.0000 0.0000 0.3725 1
Nb1 Nb 0.0000 0.0000 0.0000 1
Al1 Al 0.0000 0.0000 0.5000 1

12.
# Ti5Nb2Al4, optimized geometry, DFT GGA-PBE
# Relative energy among the computed polymorphs in eV per atom: 0.000
# M_tot in μB per cell: 1.0
data_Ti5Nb2Al4
_space_group_name_H-M_alt 'P 1 2/m 1'
_space_group_IT_number 10
_space_group_name_Hall '-P 2y'
_cell_length_a 7.1481
_cell_length_b 2.7704
_cell_length_c 9.3885
_cell_angle_alpha 90.00
_cell_angle_beta 93.62
_cell_angle_gamma 90.00
loop_
_atom_site_label
_atom_site_type_symbol
_atom_site_fract_x
_atom_site_fract_y
_atom_site_fract_z
_atom_site_occupancy
Ti1 Ti 0.0000 0.0000 0.0000 1
Ti2 Ti 0.0724 0.0000 0.2881 1
Ti3 Ti 0.2960 0.0000 0.8293 1
Nb1 Nb 0.4374 0.0000 0.3600 1
Al1 Al 0.2054 0.5000 0.5575 1
Al2 Al 0.3348 0.5000 0.1006 1